# ErNiIrO6

A relaxed structure of ErNiIrO6 (PBE+U, the Alexandria database).

Cell lengths 5.3653, 5.3653, 8.5701 Å; angles 90.00, 90.00, 120.00 degrees
Each line ends with the local moment (μB).
Fractional coordinates of all 18 atoms:
1 Er 0.3333 0.6667 0.2500  -0.04
2 Er 0.6667 0.3333 0.7500  -0.04
3 Ni 0.0000 0.0000 0.0000  1.75
4 Ni 0.0000 0.0000 0.5000  1.75
5 Ir 0.6667 0.3333 0.2500  -0.79
6 Ir 0.3333 0.6667 0.7500  -0.79
7 O 0.6782 0.6371 0.1232  -0.10
8 O 0.9590 0.3218 0.1232  -0.10
9 O 0.3218 0.9590 0.6232  -0.10
10 O 0.0410 0.6782 0.8768  -0.10
11 O 0.3629 0.3218 0.3768  -0.10
12 O 0.9590 0.6371 0.3768  -0.10
13 O 0.6371 0.9590 0.8768  -0.10
14 O 0.6782 0.0410 0.3768  -0.10
15 O 0.0410 0.3629 0.6232  -0.10
16 O 0.3629 0.0410 0.1232  -0.10
17 O 0.6371 0.6782 0.6232  -0.10
18 O 0.3218 0.3629 0.8768  -0.10

Computed properties:
Symmetry: P-31c
Total magnetization, μB per formula unit: 0.2
Total energy, eV per atom: -6.456